# 1
Entry from Alexandria: ZrTeAu2 after structural relaxation (PBE-GGA).

a = 6.837 Å, b = 4.853 Å, c = 3.934 Å
α = 89.93°, β = 54.99°, γ = 118.15°
Atoms (fractional coordinates):
Au 0.000 0.000 0.000
Au 0.500 0.000 0.500
Te 0.000 0.500 0.500
Zr 0.500 0.500 0.000

Summary:
Formation energy without anion corrections   -0.978 eV per formula unit
Space-group type   No. 12

# 2
Entry from Alexandria: ZrTeAu2 after structural relaxation (PBE-GGA).

a = 4.925 Å, b = 4.925 Å, c = 4.925 Å
α = 60.00°, β = 60.00°, γ = 60.00°
Atoms (fractional coordinates):
Zr 0.750 0.750 0.750
Te 0.500 0.500 0.500
Au 0.250 0.250 0.250
Au 0.000 0.000 0.000

Summary:
Formation energy without anion corrections   -0.965 eV per formula unit
Space-group type   No. 216

# 3
Entry from Alexandria: Zr3Te12Au5 after structural relaxation (PBE-GGA).

a = 14.557 Å, b = 14.557 Å, c = 14.557 Å
α = 109.47°, β = 109.47°, γ = 109.47°
Atoms (fractional coordinates):
Te 0.084 0.912 0.137
Te 0.912 0.828 0.776
Te 0.947 0.363 0.276
Te 0.088 0.172 0.224
Te 0.363 0.947 0.776
Te 0.553 0.224 0.137
Au 0.500 0.500 0.500
Te 0.447 0.776 0.863
Te 0.224 0.553 0.637
Au 0.250 0.875 0.125
Te 0.328 0.776 0.412
Au 0.875 0.250 0.625
Te 0.416 0.053 0.328
Au 0.125 0.375 0.250
Au 0.500 0.500 0.000
Te 0.776 0.328 0.912
Te 0.947 0.584 0.172
Te 0.637 0.053 0.224
Te 0.416 0.363 0.588
Te 0.912 0.084 0.637
Te 0.084 0.172 0.447
Te 0.328 0.553 0.416
Au 0.500 0.000 0.000
Te 0.447 0.672 0.084
Te 0.553 0.328 0.916
Zr 0.625 0.375 0.750
Te 0.588 0.863 0.416
Te 0.916 0.088 0.863
Zr 0.250 0.125 0.375
Au 0.625 0.750 0.875
Au 0.500 0.000 0.500
Te 0.172 0.088 0.724
Te 0.584 0.947 0.672
Au 0.125 0.750 0.375
Zr 0.250 0.625 0.875
Te 0.672 0.447 0.584
Zr 0.875 0.125 0.250
Te 0.172 0.084 0.947
Au 0.875 0.625 0.750
Au 0.375 0.125 0.750
Te 0.412 0.276 0.328
Te 0.863 0.588 0.916
Zr 0.750 0.875 0.625
Zr 0.375 0.625 0.250
Te 0.137 0.412 0.084
Te 0.916 0.828 0.553
Te 0.724 0.588 0.172
Zr 0.625 0.250 0.375
Au 0.375 0.250 0.125
Te 0.276 0.412 0.828
Te 0.363 0.416 0.088
Te 0.863 0.276 0.447
Au 0.000 0.000 0.000
Te 0.137 0.724 0.553
Zr 0.125 0.250 0.875
Te 0.776 0.447 0.363
Te 0.672 0.224 0.588
Te 0.412 0.137 0.584
Te 0.276 0.863 0.947
Zr 0.375 0.750 0.625
Te 0.053 0.416 0.828
Te 0.637 0.584 0.912
Te 0.588 0.724 0.672
Te 0.053 0.637 0.724
Te 0.584 0.637 0.412
Te 0.828 0.916 0.053
Zr 0.125 0.875 0.750
Au 0.000 0.500 0.000
Au 0.750 0.625 0.375
Au 0.750 0.125 0.875
Te 0.224 0.672 0.088
Te 0.828 0.912 0.276
Te 0.088 0.916 0.363
Zr 0.750 0.375 0.125
Au 0.625 0.875 0.250
Au 0.000 0.000 0.500
Te 0.724 0.137 0.053
Au 0.250 0.375 0.625
Zr 0.875 0.750 0.125
Au 0.000 0.500 0.500

Summary:
Formation energy without anion corrections   -5.267 eV per formula unit
Space-group type   No. 230